Record 1
Material: MnIr2Au
Method: DFT, PBE-GGA
State: optimized geometry

Properties
- Calculated total energy: -7.404 eV/atom
- Mass density: 17.60 g/cm3

Lattice parameters (Å, degrees): 4.810 4.810 4.810 132.13 132.13 70.03
Site moments in Bohr magnetons follow the coordinates.
Fractional positions:
Ir 0.250 0.750 0.500  -0.32
Ir 0.000 0.000 0.000  -0.33
Au 0.750 0.250 0.500  0.01
Mn 0.500 0.500 0.000  3.31


Record 2
Material: MnIr2Au
Method: DFT, PBE-GGA
State: optimized geometry

Properties
- Calculated total energy: -7.471 eV/atom
- Mass density: 17.49 g/cm3

Lattice parameters (Å, degrees): 4.870 4.870 4.745 77.21 77.21 33.49
Site moments in Bohr magnetons follow the coordinates.
Fractional positions:
Mn 0.750 0.750 0.750  3.31
Au 0.250 0.250 0.250  0.04
Ir 0.017 0.017 0.983  -0.01
Ir 0.483 0.483 0.517  -0.01